[1]
Computed, not measured: an optimized crystal structure of AlTePt3 at the PBE-GGA level of DFT.

## Properties
The calculation puts the energy relative to the elements, uncorrected at 0.2509 eV per atom. The theoretical density comes out at 12.310 g cm⁻³. Its space-group type is Pm-3m, No. 221.

Unit cell a=4.6385 b=4.6385 c=4.6385 alpha=90.00 beta=90.00 gamma=90.00
Atoms (fractional coordinates):
Al  0.0000  0.0000  0.0000
Te  0.5000  0.5000  0.5000
Pt  0.0000  0.0000  0.5000
Pt  0.0000  0.5000  0.0000
Pt  0.5000  0.0000  0.0000

[2]
Computed, not measured: an optimized crystal structure of SiH3CNO at the PBE-GGA level of DFT.

## Properties
The value obtained for the total energy is -40.31 eV per formula unit. The theoretical density comes out at 1.135 g cm⁻³. Its space-group type is Pnma, No. 62.

Unit cell a=8.0491 b=7.2673 c=7.3136 alpha=90.00 beta=90.00 gamma=90.00
Atoms (fractional coordinates):
Si  0.2455  0.2500  0.1800
Si  0.2545  0.7500  0.6800
Si  0.7455  0.2500  0.3200
Si  0.7545  0.7500  0.8200
H  0.1486  0.0811  0.1382
H  0.1486  0.4189  0.1382
H  0.1952  0.7500  0.8722
H  0.3048  0.2500  0.3722
H  0.3514  0.5811  0.6382
H  0.3514  0.9189  0.6382
H  0.6486  0.0811  0.3618
H  0.6486  0.4189  0.3618
H  0.6952  0.7500  0.6278
H  0.8048  0.2500  0.1278
H  0.8514  0.5811  0.8618
H  0.8514  0.9189  0.8618
C  0.0061  0.7500  0.3993
C  0.4939  0.2500  0.8993
C  0.5061  0.7500  0.1007
C  0.9939  0.2500  0.6007
N  0.0762  0.7500  0.5451
N  0.4238  0.2500  0.0451
N  0.5762  0.7500  0.9549
N  0.9238  0.2500  0.4549
O  0.0715  0.2500  0.7386
O  0.4285  0.7500  0.2386
O  0.5715  0.2500  0.7614
O  0.9285  0.7500  0.2614

[3]
Computed, not measured: an optimized crystal structure of BaCdPb3 at the PBE-GGA level of DFT.

## Properties
The calculation puts the formation energy at -0.3 kcal/mol of atoms. The theoretical density comes out at 7.514 g cm⁻³. Its space-group type is Pm-3m, No. 221.

Unit cell a=5.7746 b=5.7746 c=5.7746 alpha=90.00 beta=90.00 gamma=90.00
Atoms (fractional coordinates):
Ba  0.0000  0.0000  0.0000
Cd  0.5000  0.5000  0.5000
Pb  0.0000  0.5000  0.5000
Pb  0.5000  0.0000  0.5000
Pb  0.5000  0.5000  0.0000

[4]
Computed, not measured: an optimized crystal structure of Li3Dy at the PBE-GGA level of DFT.

## Properties
The calculation puts the formation energy at 1.1 kcal/mol of atoms. The theoretical density comes out at 3.278 g cm⁻³. Its space-group type is P4/nmm, No. 129.

Unit cell a=3.3843 b=3.3843 c=16.2146 alpha=90.00 beta=90.00 gamma=90.00
Atoms (fractional coordinates):
Li  0.2500  0.2500  0.0540
Li  0.2500  0.2500  0.2740
Li  0.2500  0.2500  0.8340
Li  0.7500  0.7500  0.1660
Li  0.7500  0.7500  0.7260
Li  0.7500  0.7500  0.9460
Dy  0.2500  0.2500  0.5773
Dy  0.7500  0.7500  0.4227

[5]
Computed, not measured: an optimized crystal structure of CaSmTm4 at the PBE-GGA level of DFT.

## Properties
The calculation puts the formation energy at 5.2 kcal/mol of atoms. The theoretical density comes out at 7.078 g cm⁻³. Its space-group type is F-43m, No. 216.

Unit cell a=6.5990 b=6.5990 c=6.5990 alpha=60.00 beta=60.00 gamma=60.00
Atoms (fractional coordinates):
Ca  0.0000  0.0000  0.0000
Sm  0.2500  0.2500  0.2500
Tm  0.1286  0.6238  0.6238
Tm  0.6238  0.1286  0.6238
Tm  0.6238  0.6238  0.1286
Tm  0.6238  0.6238  0.6238

[6]
Computed, not measured: an optimized crystal structure of Tb4SbTe at the PBE-GGA level of DFT.

## Properties
The calculation puts the energy relative to the elements, uncorrected at -0.6209 eV per atom. The theoretical density comes out at 6.757 g cm⁻³. Its space-group type is I4/mcm, No. 140.

Unit cell a=9.4595 b=9.4595 c=9.4595 alpha=133.70 beta=133.70 gamma=67.56
Atoms (fractional coordinates):
Tb  0.0031  0.5031  0.1822
Tb  0.1791  0.9969  0.5000
Tb  0.3209  0.8209  0.8178
Tb  0.4969  0.6791  0.5000
Tb  0.5031  0.3209  0.5000
Tb  0.6791  0.1791  0.1822
Tb  0.8209  0.0031  0.5000
Tb  0.9969  0.4969  0.8178
Sb  0.2500  0.2500  0.0000
Sb  0.7500  0.7500  0.0000
Te  0.0000  0.5000  0.5000
Te  0.5000  0.0000  0.5000

[7]
Computed, not measured: an optimized crystal structure of TlSnBi at the PBE-GGA level of DFT.

## Properties
The calculation puts the formation energy at 1.0 kcal/mol of atoms. The theoretical density comes out at 9.336 g cm⁻³. Its space-group type is I4mm, No. 107.

Unit cell a=4.0459 b=4.0459 c=11.5629 alpha=90.00 beta=90.00 gamma=90.00
Atoms (fractional coordinates):
Tl  0.0000  0.0000  0.0000
Tl  0.5000  0.5000  0.5000
Sn  0.0000  0.0000  0.3150
Sn  0.5000  0.5000  0.8150
Bi  0.0000  0.0000  0.6876
Bi  0.5000  0.5000  0.1876

[8]
Computed, not measured: an optimized crystal structure of Ce2CrPdS5 at the PBE-GGA level of DFT.

## Properties
The calculation puts the energy relative to the elements, uncorrected at -1.2804 eV per atom. The theoretical density comes out at 5.667 g cm⁻³. Its space-group type is Cmc2_1, No. 36.

Unit cell a=8.3450 b=8.3450 c=11.3138 alpha=90.00 beta=90.00 gamma=153.54
Atoms (fractional coordinates):
Ce  0.1108  0.8892  0.5000
Ce  0.1292  0.8708  0.1123
Ce  0.8708  0.1292  0.6123
Ce  0.8892  0.1108  0.0000
Cr  0.1974  0.8026  0.8194
Cr  0.8026  0.1974  0.3194
Pd  0.4387  0.5613  0.2504
Pd  0.5613  0.4387  0.7504
S  0.0542  0.9458  0.8733
S  0.2856  0.7144  0.4604
S  0.3023  0.6977  0.1626
S  0.3493  0.6507  0.8077
S  0.4931  0.5069  0.5703
S  0.5069  0.4931  0.0703
S  0.6507  0.3493  0.3077
S  0.6977  0.3023  0.6626
S  0.7144  0.2856  0.9604
S  0.9458  0.0542  0.3733

[9]
Computed, not measured: an optimized crystal structure of CoNi3Rh12 at the PBE-GGA level of DFT.

## Properties
The calculation puts the formation energy at 1.0 kcal/mol of atoms. The theoretical density comes out at 11.204 g cm⁻³. Its space-group type is P4/mmm, No. 123.

Unit cell a=3.7947 b=3.7947 c=15.1292 alpha=90.00 beta=90.00 gamma=90.00
Atoms (fractional coordinates):
Co  0.0000  0.0000  0.0000
Ni  0.0000  0.0000  0.2513
Ni  0.0000  0.0000  0.5000
Ni  0.0000  0.0000  0.7487
Rh  0.0000  0.5000  0.1246
Rh  0.0000  0.5000  0.3749
Rh  0.0000  0.5000  0.6251
Rh  0.0000  0.5000  0.8754
Rh  0.5000  0.0000  0.1246
Rh  0.5000  0.0000  0.3749
Rh  0.5000  0.0000  0.6251
Rh  0.5000  0.0000  0.8754
Rh  0.5000  0.5000  0.0000
Rh  0.5000  0.5000  0.2497
Rh  0.5000  0.5000  0.5000
Rh  0.5000  0.5000  0.7503

[10]
Computed, not measured: an optimized crystal structure of Zn5Pd3 at the PBE-GGA level of DFT.

## Properties
The calculation puts the formation energy at -9.6 kcal/mol of atoms. The theoretical density comes out at 9.244 g cm⁻³. Its space-group type is P4/mmm, No. 123.

Unit cell a=3.1006 b=3.1006 c=12.0755 alpha=90.00 beta=90.00 gamma=90.00
Atoms (fractional coordinates):
Zn  0.0000  0.0000  0.0000
Zn  0.5000  0.5000  0.1274
Zn  0.5000  0.5000  0.3756
Zn  0.5000  0.5000  0.6244
Zn  0.5000  0.5000  0.8726
Pd  0.0000  0.0000  0.2497
Pd  0.0000  0.0000  0.5000
Pd  0.0000  0.0000  0.7503

[11]
Computed, not measured: an optimized crystal structure of SrNpBr5 at the PBE-GGA level of DFT.

## Properties
The calculation puts the energy relative to the elements, uncorrected at -1.5921 eV per atom. The theoretical density comes out at 4.134 g cm⁻³. Its space-group type is C2/c, No. 15.

Unit cell a=7.6652 b=7.6652 c=10.8552 alpha=107.13 beta=107.13 gamma=87.68
Atoms (fractional coordinates):
Sr  0.0788  0.9212  0.7500
Sr  0.9212  0.0788  0.2500
Np  0.0000  0.5000  0.0000
Np  0.5000  0.0000  0.5000
Br  0.1880  0.2116  0.5338
Br  0.2116  0.1880  0.0338
Br  0.2152  0.6023  0.8583
Br  0.2235  0.7765  0.2500
Br  0.3977  0.7848  0.6417
Br  0.6023  0.2152  0.3583
Br  0.7765  0.2235  0.7500
Br  0.7848  0.3977  0.1417
Br  0.7884  0.8120  0.9662
Br  0.8120  0.7884  0.4662

[12]
Computed, not measured: an optimized crystal structure of Ta14NbIr at the PBE-GGA level of DFT.

## Properties
The calculation puts the formation energy at -2.6 kcal/mol of atoms. The theoretical density comes out at 16.304 g cm⁻³. Its space-group type is Cmmm, No. 65.

Unit cell a=5.7236 b=5.7236 c=9.2991 alpha=90.00 beta=90.00 gamma=109.56
Atoms (fractional coordinates):
Ta  0.0000  0.0000  0.0000
Ta  0.0000  0.5000  0.0000
Ta  0.0000  0.5000  0.5000
Ta  0.2490  0.7510  0.2488
Ta  0.2490  0.7510  0.7512
Ta  0.2504  0.2504  0.2554
Ta  0.2504  0.2504  0.7446
Ta  0.5000  0.0000  0.0000
Ta  0.5000  0.0000  0.5000
Ta  0.5000  0.5000  0.0000
Ta  0.7496  0.7496  0.2554
Ta  0.7496  0.7496  0.7446
Ta  0.7510  0.2490  0.2488
Ta  0.7510  0.2490  0.7512
Nb  0.0000  0.0000  0.5000
Ir  0.5000  0.5000  0.5000

[13]
Computed, not measured: an optimized crystal structure of Pm8P4Se3S at the PBE-GGA level of DFT.

## Properties
The calculation puts the energy relative to the elements, uncorrected at -1.8050 eV per atom. The theoretical density comes out at 6.377 g cm⁻³. Its space-group type is R-3m, No. 166.

Unit cell a=8.3460 b=8.3460 c=8.3460 alpha=59.28 beta=59.28 gamma=59.28
Atoms (fractional coordinates):
Pm  0.2407  0.7467  0.7467
Pm  0.2436  0.2436  0.2436
Pm  0.2533  0.2533  0.7593
Pm  0.2533  0.7593  0.2533
Pm  0.7467  0.2407  0.7467
Pm  0.7467  0.7467  0.2407
Pm  0.7564  0.7564  0.7564
Pm  0.7593  0.2533  0.2533
P  0.0000  0.0000  0.5000
P  0.0000  0.5000  0.0000
P  0.5000  0.0000  0.0000
P  0.5000  0.5000  0.5000
Se  0.0000  0.5000  0.5000
Se  0.5000  0.0000  0.5000
Se  0.5000  0.5000  0.0000
S  0.0000  0.0000  0.0000

[14]
Computed, not measured: an optimized crystal structure of Dy3Te12Au5 at the PBE-GGA level of DFT.

## Properties
The calculation puts the energy relative to the elements, uncorrected at -0.4322 eV per atom. The theoretical density comes out at 7.872 g cm⁻³. Its space-group type is Ia-3d, No. 230.

Unit cell a=14.8764 b=14.8764 c=14.8764 alpha=109.47 beta=109.47 gamma=109.47
Atoms (fractional coordinates):
Dy  0.1250  0.2500  0.3750
Dy  0.1250  0.3750  0.7500
Dy  0.2500  0.3750  0.1250
Dy  0.2500  0.8750  0.6250
Dy  0.3750  0.1250  0.2500
Dy  0.3750  0.7500  0.1250
Dy  0.6250  0.2500  0.8750
Dy  0.6250  0.8750  0.7500
Dy  0.7500  0.1250  0.3750
Dy  0.7500  0.6250  0.8750
Dy  0.8750  0.6250  0.2500
Dy  0.8750  0.7500  0.6250
Te  0.0442  0.2142  0.1328
Te  0.0442  0.3300  0.9114
Te  0.0814  0.7142  0.6700
Te  0.0814  0.8672  0.4114
Te  0.0886  0.6328  0.4186
Te  0.0886  0.9558  0.6700
Te  0.1328  0.0442  0.2142
Te  0.1328  0.5886  0.9186
Te  0.1700  0.2142  0.5814
Te  0.1700  0.4558  0.5886
Te  0.2142  0.1328  0.0442
Te  0.2142  0.5814  0.1700
Te  0.2858  0.3300  0.9186
Te  0.2858  0.4558  0.3672
Te  0.3300  0.9114  0.0442
Te  0.3300  0.9186  0.2858
Te  0.3672  0.2858  0.4558
Te  0.3672  0.5814  0.9114
Te  0.4114  0.0814  0.8672
Te  0.4114  0.8300  0.5442
Te  0.4186  0.0886  0.6328
Te  0.4186  0.8300  0.7858
Te  0.4558  0.3672  0.2858
Te  0.4558  0.5886  0.1700
Te  0.5442  0.4114  0.8300
Te  0.5442  0.6328  0.7142
Te  0.5814  0.1700  0.2142
Te  0.5814  0.9114  0.3672
Te  0.5886  0.1700  0.4558
Te  0.5886  0.9186  0.1328
Te  0.6328  0.4186  0.0886
Te  0.6328  0.7142  0.5442
Te  0.6700  0.0814  0.7142
Te  0.6700  0.0886  0.9558
Te  0.7142  0.5442  0.6328
Te  0.7142  0.6700  0.0814
Te  0.7858  0.4186  0.8300
Te  0.7858  0.8672  0.9558
Te  0.8300  0.5442  0.4114
Te  0.8300  0.7858  0.4186
Te  0.8672  0.4114  0.0814
Te  0.8672  0.9558  0.7858
Te  0.9114  0.0442  0.3300
Te  0.9114  0.3672  0.5814
Te  0.9186  0.1328  0.5886
Te  0.9186  0.2858  0.3300
Te  0.9558  0.6700  0.0886
Te  0.9558  0.7858  0.8672
Au  0.0000  0.0000  0.0000
Au  0.0000  0.0000  0.5000
Au  0.0000  0.5000  0.0000
Au  0.0000  0.5000  0.5000
Au  0.1250  0.7500  0.8750
Au  0.1250  0.8750  0.2500
Au  0.2500  0.1250  0.8750
Au  0.2500  0.6250  0.3750
Au  0.3750  0.2500  0.6250
Au  0.3750  0.6250  0.7500
Au  0.5000  0.0000  0.0000
Au  0.5000  0.0000  0.5000
Au  0.5000  0.5000  0.0000
Au  0.5000  0.5000  0.5000
Au  0.6250  0.3750  0.2500
Au  0.6250  0.7500  0.3750
Au  0.7500  0.3750  0.6250
Au  0.7500  0.8750  0.1250
Au  0.8750  0.1250  0.7500
Au  0.8750  0.2500  0.1250

[15]
Computed, not measured: an optimized crystal structure of TbMg8Cd2 at the PBE-GGA level of DFT.

## Properties
The calculation puts the formation energy at 1.0 kcal/mol of atoms. The theoretical density comes out at 3.517 g cm⁻³. Its space-group type is C2/m, No. 12.

Unit cell a=7.9594 b=7.9594 c=5.3059 alpha=101.51 beta=101.51 gamma=118.18
Atoms (fractional coordinates):
Tb  0.0000  0.0000  0.0000
Mg  0.0872  0.3170  0.6255
Mg  0.2335  0.7665  0.0000
Mg  0.3170  0.0872  0.6255
Mg  0.4152  0.4152  0.1969
Mg  0.5848  0.5848  0.8031
Mg  0.6830  0.9128  0.3745
Mg  0.7665  0.2335  0.0000
Mg  0.9128  0.6830  0.3745
Cd  0.3111  0.6889  0.5000
Cd  0.6889  0.3111  0.5000

[16]
Computed, not measured: an optimized crystal structure of LiAu at the PBE-GGA level of DFT.

## Properties
The calculation puts the formation energy at -10.8 kcal/mol of atoms. The theoretical density comes out at 10.261 g cm⁻³. Its space-group type is Fd-3m, No. 227.

Unit cell a=6.4149 b=6.4149 c=6.4149 alpha=90.00 beta=90.00 gamma=90.00
Atoms (fractional coordinates):
Li  0.1250  0.1250  0.1250
Li  0.1250  0.6250  0.6250
Li  0.3750  0.3750  0.8750
Li  0.3750  0.8750  0.3750
Li  0.6250  0.1250  0.6250
Li  0.6250  0.6250  0.1250
Li  0.8750  0.3750  0.3750
Li  0.8750  0.8750  0.8750
Au  0.1250  0.1250  0.6250
Au  0.1250  0.6250  0.1250
Au  0.3750  0.3750  0.3750
Au  0.3750  0.8750  0.8750
Au  0.6250  0.1250  0.1250
Au  0.6250  0.6250  0.6250
Au  0.8750  0.3750  0.8750
Au  0.8750  0.8750  0.3750

[17]
Computed, not measured: an optimized crystal structure of Pu2Ge2S7 at the PBE-GGA level of DFT.

## Properties
The calculation puts the energy relative to the elements, uncorrected at -0.7658 eV per atom. The theoretical density comes out at 3.466 g cm⁻³. Its space-group type is C2/m, No. 12.

Unit cell a=6.8524 b=6.8524 c=10.1259 alpha=101.46 beta=101.46 gamma=112.32
Atoms (fractional coordinates):
Pu  0.1791  0.8209  0.0000
Pu  0.8209  0.1791  0.0000
Ge  0.3374  0.3374  0.2641
Ge  0.6626  0.6626  0.7359
S  0.0151  0.0151  0.1860
S  0.2046  0.5415  0.1466
S  0.4585  0.7954  0.8534
S  0.5000  0.5000  0.5000
S  0.5415  0.2046  0.1466
S  0.7954  0.4585  0.8534
S  0.9849  0.9849  0.8140

[18]
Computed, not measured: an optimized crystal structure of CaEuAgPb at the PBE-GGA level of DFT.

## Properties
The calculation puts the formation energy at -10.5 kcal/mol of atoms. The theoretical density comes out at 7.321 g cm⁻³. Its space-group type is F-43m, No. 216.

Unit cell a=7.7198 b=7.7198 c=7.7198 alpha=90.00 beta=90.00 gamma=90.00
Atoms (fractional coordinates):
Ca  0.0000  0.0000  0.0000
Ca  0.0000  0.5000  0.5000
Ca  0.5000  0.0000  0.5000
Ca  0.5000  0.5000  0.0000
Eu  0.0000  0.0000  0.5000
Eu  0.0000  0.5000  0.0000
Eu  0.5000  0.0000  0.0000
Eu  0.5000  0.5000  0.5000
Ag  0.2500  0.2500  0.7500
Ag  0.2500  0.7500  0.2500
Ag  0.7500  0.2500  0.2500
Ag  0.7500  0.7500  0.7500
Pb  0.2500  0.2500  0.2500
Pb  0.2500  0.7500  0.7500
Pb  0.7500  0.2500  0.7500
Pb  0.7500  0.7500  0.2500